# SmNpAu2, optimized geometry, DFT PBE-GGA
data_SmNpAu2
_chemical_formula_sum 'Sm1 Np1 Au2'
_cell_length_a 3.602
_cell_length_b 3.602
_cell_length_c 7.456
_cell_angle_alpha 90.00
_cell_angle_beta 90.00
_cell_angle_gamma 90.00
_symmetry_space_group_name_H-M 'P 1'
_symmetry_Int_Tables_number 1
_symmetry_space_group_name_Hall 'P 1'
loop_
_atom_site_label
_atom_site_fract_x
_atom_site_fract_y
_atom_site_fract_z
Sm1 0.000 0.000 0.000
Np1 0.000 0.000 0.500
Au1 0.500 0.500 0.248
Au2 0.500 0.500 0.752
# DOS(E_F): 2.637 states/eV per atom
# ΔH_f (0 K): -0.37 eV per atom
# magnetic moment: 4.5 μB/cell